No. 1
This record from the Open Quantum Materials Database describes an optimized crystal structure of LuMgPt2. The functional is PBE.

Computed properties:
Uncorrected energy ... -5.25 eV per atom
ρ ... 13.61 Mg/m³

a = 4.668 Å, b = 4.668 Å, c = 4.668 Å
α = 60.00°, β = 60.00°, γ = 60.00°
Fractional positions:
1 Lu 0.250 0.250 0.250
2 Mg 0.500 0.500 0.500
3 Pt 0.000 0.000 0.000
4 Pt 0.750 0.750 0.750

=====

No. 2
This record from the Open Quantum Materials Database describes an optimized crystal structure of NdYZnIr2. The functional is PBE.

Computed properties:
E_form ... -0.708 eV per atom
ρ ... 10.83 Mg/m³

a = 5.574 Å, b = 5.574 Å, c = 5.574 Å
α = 135.61°, β = 116.71°, γ = 80.56°
Fractional positions:
1 Ir 0.732 0.501 0.231
2 Ir 0.269 0.501 0.769
3 Nd 0.298 0.798 0.500
4 Y 0.703 0.203 0.500
5 Zn 0.998 0.998 0.000

=====

No. 3
This record from the Open Quantum Materials Database describes an optimized crystal structure of Na5AuSeS2. The functional is PBE.

Computed properties:
Uncorrected energy ... -3.25 eV per atom
ρ ... 2.85 Mg/m³

a = 5.167 Å, b = 5.167 Å, c = 9.920 Å
α = 90.00°, β = 90.00°, γ = 90.00°
Fractional positions:
1 Au 0.000 0.000 0.000
2 Na 0.500 0.000 0.295
3 Na 0.000 0.500 0.295
4 Na 0.000 0.000 0.500
5 Na 0.500 0.000 0.705
6 Na 0.000 0.500 0.705
7 S 0.000 0.000 0.232
8 S 0.000 0.000 0.768
9 Se 0.500 0.500 0.500

=====

No. 4
This record from the Open Quantum Materials Database describes an optimized crystal structure of Cu2Ag. The functional is PBE.

Computed properties:
Energy relative to the lowest polymorph listed for this composition ... 42 meV/atom
E_form ... 0.088 eV per atom
ρ ... 9.32 Mg/m³

a = 5.994 Å, b = 5.994 Å, c = 6.095 Å
α = 106.74°, β = 106.74°, γ = 37.02°
Fractional positions:
1 Ag 0.439 0.439 0.161
2 Ag 0.000 0.000 0.500
3 Ag 0.561 0.561 0.839
4 Cu 0.773 0.773 0.171
5 Cu 0.123 0.123 0.173
6 Cu 0.675 0.675 0.496
7 Cu 0.325 0.325 0.504
8 Cu 0.877 0.877 0.827
9 Cu 0.227 0.227 0.829